19
Lattice="-2.9573 5.3968 0.6999 -9.6885 -3.5453 4.6109 15.1739 2.0011 2.9505" Properties=species:S:1:pos:R:3 comment="Tb12Nd2Y5 (PBE, optimized geometry)" de_polymorph_mev_per_atom=0.0 ef_ev_per_atom=0.0176 final_energy_ev_per_atom=-5.110 pbc="T T T"
Tb -0.0431 3.2669 6.5998
Y -4.8129 -1.3868 4.0576
Y 7.3410 5.2394 4.2038
Tb 9.9660 3.3234 2.7464
Tb -2.4194 0.9395 5.3294
Tb 2.3139 4.8341 4.3748
Tb -5.1295 2.0825 3.2976
Nd 5.3465 0.2006 7.1732
Y -0.0850 2.5025 3.1271
Tb 0.2142 -0.9815 3.8866
Tb -7.4379 0.5291 5.5150
Tb 4.9475 2.9131 2.9320
Tb 5.0252 3.6860 6.4145
Y 7.5869 1.0005 1.4753
Y 2.6131 1.3501 5.1342
Tb 2.5712 0.5857 1.6616
Tb -2.4971 0.1666 1.8468
Nd -2.8184 3.6520 1.0881
Tb 7.6576 1.7701 4.9638



12
Lattice="5.7706 0.0000 0.0000 0.0000 8.5002 0.0000 0.0000 0.0000 10.6472" Properties=species:S:1:pos:R:3 comment="Cs2SrTlBi2 (PBE, optimized geometry)" ef_ev_per_atom=-0.4531 final_energy_ev_per_atom=-2.706 pbc="T T T"
Cs 2.8853 0.0401 0.9008
Tl 2.8853 5.6181 3.4457
Tl 2.8853 1.3680 7.2015
Cs 0.0000 2.7553 1.6659
Bi 0.0000 6.4308 2.4082
Cs 0.0000 7.0054 8.9813
Bi 0.0000 2.1807 8.2390
Bi 2.8853 6.6587 6.5054
Sr 0.0000 4.3852 5.5183
Cs 2.8853 4.2902 9.7463
Bi 2.8853 2.4086 4.1418
Sr 0.0000 0.1351 5.1289



4
Lattice="5.3620 0.0000 0.0000 2.6810 4.6436 0.0000 2.6810 1.5479 4.3781" Properties=species:S:1:pos:R:3 comment="PmPuPaPb (PBE, optimized geometry)" ef_ev_per_atom=0.1305 final_energy_ev_per_atom=-7.941 pbc="T T T"
Pm 5.3620 3.0958 2.1890
Pu 0.0000 0.0000 0.0000
Pa 8.0430 4.6436 3.2835
Pb 2.6810 1.5479 1.0945



4
Lattice="-1.8416 1.8416 4.3767 1.8416 -1.8416 4.3767 1.8416 1.8416 -4.3767" Properties=species:S:1:pos:R:3 comment="TlNi2P (PBE, optimized geometry)" ef_ev_per_atom=0.3483 final_energy_ev_per_atom=-4.486 pbc="T T T"
P 0.0000 0.0000 4.3767
Tl 0.0000 1.8416 2.1883
Ni 1.8416 0.0000 2.1883
Ni 0.0000 0.0000 0.0000